Material: Pr2Sc2CIBr2Cl2
Method: DFT, PBE
State: optimized geometry

Cell lengths 8.911, 8.911, 8.170 Å; angles 105.69, 105.69, 24.63 degrees
Element x y z (fractional)
Br: 0.161 0.161 0.364
Br: 0.839 0.839 0.636
C: 0.500 0.500 0.000
Cl: 0.841 0.841 0.171
Cl: 0.159 0.159 0.829
I: 0.500 0.500 0.500
Pr: 0.649 0.649 0.084
Pr: 0.351 0.351 0.916
Sc: 0.001 0.001 0.183
Sc: 0.999 0.999 0.817

ρ	4.7	g cm⁻³
VASP energy	-54.03	eV/cell
SG	No. 12
polymorph energy (0 for the lowest one)	40	meV/atom